1.
Compound: LiEr2Pb3
Source: Alexandria
Functional: GGA-PBE
Structure: relaxed

Output
The value obtained for the volume is 317.5 Å³/cell. Its space group is P2/m, No. 10. For the energy above the lowest structure with this stoichiometry, the calculation gives 0.0 meV per atom.

abc: 4.854 7.819 8.797
angles: 90.00 90.00 72.02
Fractional coordinates of all 12 atoms:
Li 0.329 0.344 0.000
Li 0.671 0.656 0.000
Pb 0.832 0.336 0.240
Pb 0.832 0.336 0.760
Pb 0.168 0.664 0.760
Pb 0.168 0.664 0.240
Pb 0.500 0.000 0.755
Pb 0.500 0.000 0.245
Er 0.669 0.661 0.500
Er 0.331 0.339 0.500
Er 0.000 0.000 0.500
Er 0.000 0.000 0.000

2.
Compound: YGaSnC2
Source: Alexandria
Functional: GGA-PBE
Structure: relaxed

Output
The value obtained for the volume is 121.3 Å³/cell. Its total energy is -4.545 eV/atom. Its space group is P4/mmm, No. 123.

abc: 4.510 5.966 4.510
angles: 90.00 90.00 90.00
Fractional coordinates of all 5 atoms:
Sn 0.000 0.500 0.000
Ga 0.500 0.500 0.500
C 0.500 0.000 0.000
C 0.000 0.000 0.500
Y 0.000 0.000 0.000

3.
Compound: TbErZnPd
Source: Alexandria
Functional: GGA-PBE
Structure: relaxed

Output
The value obtained for the volume is 87.8 Å³/cell. Its space group is P4mm, No. 99. For the energy above the lowest structure with this stoichiometry, the calculation gives 0.0 meV per atom.

abc: 3.547 3.547 6.977
angles: 90.00 90.00 90.00
Fractional coordinates of all 4 atoms:
Er 0.000 0.000 0.352
Pd 0.500 0.500 0.115
Tb 0.000 0.000 0.861
Zn 0.500 0.500 0.601

4.
Compound: SmYZrIn
Source: Alexandria
Functional: GGA-PBE
Structure: relaxed

Output
The value obtained for the volume is 110.8 Å³/cell. Its total energy is -5.689 eV/atom. Its space group is F-43m, No. 216.

abc: 5.391 5.391 5.391
angles: 60.00 60.00 60.00
Site moments in Bohr magnetons follow the coordinates.
Fractional coordinates of all 4 atoms:
Sm 0.750 0.750 0.750  0.23
Zr 0.500 0.500 0.500  1.12
In 0.000 0.000 0.000  -0.02
Y 0.250 0.250 0.250  0.28

5.
Compound: DyAlGa2Cu2
Source: Alexandria
Functional: GGA-PBE
Structure: relaxed

Output
The value obtained for the volume is 101.5 Å³/cell. Its total energy is -4.157 eV/atom. Its space group is P-3m1, No. 164.

abc: 4.171 4.171 6.734
angles: 90.00 90.00 120.00
Fractional coordinates of all 6 atoms:
Cu 0.667 0.333 0.333
Cu 0.333 0.667 0.667
Ga 0.333 0.667 0.263
Ga 0.667 0.333 0.737
Dy 0.000 0.000 0.000
Al 0.000 0.000 0.500

6.
Compound: GaGeSb2
Source: Alexandria
Functional: GGA-PBE
Structure: relaxed

Output
The value obtained for the volume is 108.3 Å³/cell. The value obtained for the formation energy (no corrections) is 0.34 eV/atom. Its space group is R-3m, No. 166. For the energy above the lowest structure with this stoichiometry, the calculation gives 259.0 meV per atom.

abc: 3.545 3.545 10.156
angles: 79.95 79.95 60.00
Fractional coordinates of all 4 atoms:
Sb 0.100 0.100 0.701
Sb 0.900 0.900 0.299
Ge 0.500 0.500 0.500
Ga 0.000 0.000 0.000

7.
Compound: Ca2YSbO5
Source: Alexandria
Functional: GGA-PBE
Structure: relaxed

Output
The value obtained for the volume is 322.1 Å³/cell. The value obtained for the formation energy (no corrections) is -2.58 eV/atom. Its space group is Cc, No. 9.

abc: 9.315 9.315 5.958
angles: 69.80 69.80 42.12
Fractional coordinates of all 18 atoms:
O 0.929 0.204 0.271
O 0.993 0.739 0.807
O 0.933 0.540 0.365
O 0.416 0.313 0.590
O 0.358 0.653 0.335
O 0.653 0.358 0.835
O 0.540 0.933 0.865
O 0.204 0.929 0.771
O 0.739 0.993 0.307
O 0.313 0.416 0.090
Y 0.637 0.323 0.228
Y 0.323 0.637 0.728
Ca 0.656 0.075 0.909
Ca 0.267 0.944 0.083
Ca 0.075 0.656 0.409
Ca 0.944 0.267 0.583
Sb 0.473 0.072 0.532
Sb 0.072 0.473 0.032

8.
Compound: TaFeSb2
Source: Alexandria
Functional: GGA-PBE
Structure: relaxed

Output
The value obtained for the volume is 79.4 Å³/cell. The value obtained for the formation energy (no corrections) is 0.21 eV/atom. Its space group is Imm2, No. 44. For the energy above the lowest structure with this stoichiometry, the calculation gives 184.0 meV per atom.

abc: 6.728 6.728 6.728
angles: 153.65 143.88 45.26
Site moments in Bohr magnetons follow the coordinates.
Fractional coordinates of all 4 atoms:
Sb 0.777 0.277 0.500  -0.01
Sb 0.051 0.051 0.000  0.01
Fe 0.242 0.742 0.500  1.59
Ta 0.430 0.430 0.000  0.06

9.
Compound: KErNbO5
Source: Alexandria
Functional: GGA-PBE
Structure: relaxed

Output
The value obtained for the volume is 295.8 Å³/cell. The value obtained for the formation energy (no corrections) is -2.52 eV/atom. Its space group is C2/c, No. 15.

abc: 6.287 6.287 8.455
angles: 102.95 102.95 107.10
Site moments in Bohr magnetons follow the coordinates.
Fractional coordinates of all 16 atoms:
Nb 0.311 0.689 0.750  -0.01
Nb 0.689 0.311 0.250  -0.01
O 0.623 0.772 0.888  0.08
O 0.930 0.070 0.750  0.63
O 0.377 0.228 0.112  0.08
O 0.772 0.623 0.388  0.08
O 0.886 0.295 0.116  0.02
O 0.228 0.377 0.612  0.08
O 0.114 0.705 0.884  0.02
O 0.295 0.886 0.616  0.02
O 0.705 0.114 0.384  0.02
O 0.070 0.930 0.250  0.63
K 0.669 0.331 0.750  0.00
K 0.331 0.669 0.250  0.00
Er 0.000 0.000 0.000  -0.03
Er 0.000 0.000 0.500  -0.03

10.
Compound: Co2MoRu
Source: Alexandria
Functional: GGA-PBE
Structure: relaxed

Output
The value obtained for the volume is 51.0 Å³/cell. Its space group is Cm, No. 8. For the energy above the lowest structure with this stoichiometry, the calculation gives 106.7 meV per atom.

abc: 4.519 4.519 4.524
angles: 80.50 80.50 34.10
Site moments in Bohr magnetons follow the coordinates.
Fractional coordinates of all 4 atoms:
Ru 0.257 0.257 0.229  0.05
Co 0.746 0.746 0.758  0.60
Co 0.002 0.002 0.999  0.82
Mo 0.495 0.495 0.514  -0.07

11.
Compound: TiCdHg3
Source: Alexandria
Functional: GGA-PBE
Structure: relaxed

Output
The value obtained for the volume is 163.2 Å³/cell. Its space group is Pm-3m, No. 221. For the energy above the lowest structure with this stoichiometry, the calculation gives 0.0 meV per atom.

abc: 5.465 5.465 5.465
angles: 90.00 90.00 90.00
Site moments in Bohr magnetons follow the coordinates.
Fractional coordinates of all 5 atoms:
Cd 0.500 0.500 0.500  0.04
Ti 0.000 0.000 0.000  1.70
Hg 0.000 0.500 0.000  0.09
Hg 0.000 0.000 0.500  0.05
Hg 0.500 0.000 0.000  0.12

12.
Compound: Pm2TmHg8
Source: Alexandria
Functional: GGA-PBE
Structure: relaxed

Output
The value obtained for the volume is 275.0 Å³/cell. Its total energy is -1.819 eV/atom. Its space group is C2/m, No. 12.

abc: 5.037 7.248 8.395
angles: 108.90 107.46 90.00
Fractional coordinates of all 11 atoms:
Hg 0.980 0.270 0.959
Hg 0.849 0.834 0.697
Hg 0.595 0.445 0.190
Hg 0.405 0.555 0.810
Hg 0.665 0.892 0.331
Hg 0.020 0.730 0.041
Hg 0.151 0.166 0.303
Hg 0.335 0.108 0.669
Tm 0.500 0.000 0.000
Pm 0.211 0.658 0.423
Pm 0.789 0.342 0.577